## TaAg2Sb (PBE)

Data for a relaxed structure of TaAg2Sb.

Results
Uncorrected formation energy: 230 meV/atom
D(E_F): 1.6 states/eV/f.u.

a = 2.9841 Å, b = 2.9841 Å, c = 9.4995 Å
α = 90.00°, β = 90.00°, γ = 104.47°
Closest atoms and distances in Å follow each position.
Positions (direct):
1 Ta 0.0000 0.0000 0.0000  2 Ag 2.85, 2 Sb 2.89, 4 Ta 2.98
2 Ag 0.0000 0.0000 0.5420  6 Ag 2.83-2.98
3 Ag 0.5000 0.5000 0.7700  6 Ag 2.83-2.98, 2 Ta 2.85
4 Sb 0.5000 0.5000 0.2361  2 Ta 2.89, 4 Sb 2.98